Computed, not measured: a relaxed La6PmNd crystal at the PBE level of DFT.

```
La6PmNd
1.0
5.237 0.000 0.000
0.000 5.237 0.000
0.000 0.000 10.482
La Pm Nd
6 1 1
Cartesian
0.000 0.000 0.000
0.000 0.000 5.241
0.000 2.619 2.616
0.000 2.619 7.866
2.619 0.000 2.616
2.619 0.000 7.866
2.619 2.619 0.000
2.619 2.619 5.241
```

Output
The formation energy comes out at 0.0 eV per formula unit. The space group is P4/mmm, No. 123. The uncorrected energy comes out at -4.882 eV/atom. The calculated density is 6.5 g/cm³.


Computed, not measured: a relaxed Ba2TePt crystal at the PBE level of DFT.

```
Ba2TePt
1.0
4.792 0.000 0.000
-2.396 4.150 0.000
0.000 0.000 23.562
Ba Te Pt
6 3 3
Cartesian
0.000 0.000 5.727
0.000 0.000 17.835
0.000 2.767 9.981
0.000 2.767 21.435
2.396 1.383 2.127
2.396 1.383 13.581
0.000 0.000 0.000
0.000 2.767 15.708
2.396 1.383 7.854
0.000 0.000 11.781
0.000 2.767 3.927
2.396 1.383 19.635
```

Output
The formation energy from raw total energies comes out at -1179 meV per atom. The space group is R-3m, No. 166. The uncorrected energy comes out at -4.436 eV/atom. The calculated density is 6.4 g/cm³.


Computed, not measured: a relaxed NbFeCuIr crystal at the PBE level of DFT.

```
NbFeCuIr
1.0
6.089 0.000 0.000
0.000 6.089 0.000
0.000 0.000 6.089
Nb Fe Cu Ir
4 4 4 4
Cartesian
0.000 0.000 0.000
0.000 3.044 3.044
3.044 0.000 3.044
3.044 3.044 0.000
1.522 1.522 1.522
1.522 4.566 4.566
4.566 1.522 4.566
4.566 4.566 1.522
0.000 0.000 3.044
0.000 3.044 0.000
3.044 0.000 0.000
3.044 3.044 3.044
1.522 1.522 4.566
1.522 4.566 1.522
4.566 1.522 1.522
4.566 4.566 4.566
```

Output
The formation energy comes out at -0.3 eV per formula unit. The space group is F-43m, No. 216. The uncorrected energy comes out at -7.959 eV/atom. The calculated density is 11.9 g/cm³.